Below is a geometry-optimized PrSiGe2Ru2 structure, with properties calculated at the PBE-GGA level.

Cell: 4.4650 4.4650 5.6685 Å, 90.00 90.00 90.00°
Closest atoms and distances in Å follow each position.
Sites, in units of the cell vectors:
1 Pr 0.0000 0.0000 0.0000  2 Si 2.83
2 Si 0.0000 0.0000 0.5000  4 Ru 2.23
3 Ge 0.5000 0.5000 0.2269  1 Ge 2.57, 4 Ru 2.72
4 Ge 0.5000 0.5000 0.7731  1 Ge 2.57, 4 Ru 2.72
5 Ru 0.0000 0.5000 0.5000  2 Si 2.23
6 Ru 0.5000 0.0000 0.5000  2 Si 2.23

Calculated values
For the formation energy (no corrections), the calculation gives -170.1 kJ/mol of formula units. For the total magnetic moment, the calculation gives 0.00 Bohr magnetons per cell. As for the space-group type: P4/mmm. The density comes out at 7.59 g/cm³. The density of states at the Fermi level comes out at 1.012 states/eV/atom. The energy is -0.243 Ha/atom.